[1]
This record from Alexandria via LeMat-Bulk describes a geometry-optimized Li2TaPt structure. The functional is PBE-GGA.

Cell: 4.2508 4.2508 4.2508 Å, 60.00 60.00 60.00°
Last column: nearest neighbours and their distance in Å.
Element x y z (fractional)
1 Li 0.2500 0.2500 0.2500  4 Ta 2.60, 4 Pt 2.60
2 Li 0.7500 0.7500 0.7500  4 Pt 2.60, 4 Ta 2.60
3 Pt 0.5000 0.5000 0.5000  8 Li 2.60
4 Ta 0.0000 0.0000 0.0000  8 Li 2.60

- Energy of formation from the pure elements: 0.130 eV/atom
- SG: Fm-3m
- DOS at the Fermi energy: 0.83 states/eV per atom
- Total moment: 0.00 μB/cell
- ΔE to the lowest computed polymorph: 37.56 kJ per mole of atoms
- Crystal system: cubic

---

[2]
This record from Alexandria via LeMat-Bulk describes a geometry-optimized MnGeH2 structure. The functional is PBE-GGA.

Cell: 3.8085 3.8085 3.8085 Å, 60.00 60.00 60.00°
Last column: nearest neighbours and their distance in Å.
Element x y z (fractional)
1 H 0.2500 0.2500 0.2500  4 Ge 2.33, 4 Mn 2.33
2 H 0.7500 0.7500 0.7500  4 Mn 2.33, 4 Ge 2.33
3 Ge 0.5000 0.5000 0.5000  8 H 2.33
4 Mn 0.0000 0.0000 0.0000  8 H 2.33

- SG: Fm-3m
- DOS at the Fermi energy: 0.31 states/eV per atom
- Total moment: 3.75 μB/cell
- ΔE to the lowest computed polymorph: 28.98 kJ per mole of atoms
- Crystal system: cubic

---

[3]
This record from Alexandria via LeMat-Bulk describes a geometry-optimized K2LaZnF8 structure. The functional is PBE-GGA.

Cell: 4.1544 6.1954 7.8069 Å, 84.46 92.17 94.97°
Last column: nearest neighbours and their distance in Å.
Element x y z (fractional)
1 K 0.5133 0.4847 0.7651  8 F 2.63-2.86
2 K 0.4867 0.5153 0.2349  8 F 2.63-2.86
3 La 0.0000 0.0000 0.5000  8 F 2.35-2.57
4 Zn 0.0000 0.0000 0.0000  4 F 1.90-1.95
5 F 0.0421 0.8232 0.2191  1 Zn 1.95
6 F 0.6133 0.8178 0.9680  1 Zn 1.90
7 F 0.9481 0.2482 0.2557  1 La 2.35
8 F 0.9579 0.1768 0.7809  1 Zn 1.95
9 F 0.3867 0.1822 0.0320  1 Zn 1.90
10 F 0.0519 0.7518 0.7443  1 La 2.35
11 F 0.4978 0.7844 0.4821  2 La 2.38-2.57, 1 K 2.67
12 F 0.5022 0.2156 0.5179  2 La 2.38-2.57, 1 K 2.67

- Energy relative to the elements, uncorrected: -2.86 eV per atom
- SG: P-1
- DOS at the Fermi energy: 0.54 states/eV per atom
- Total moment: 1.09 μB/cell
- Crystal system: triclinic

---

[4]
This record from Alexandria via LeMat-Bulk describes a geometry-optimized Cd2OsRu structure. The functional is PBE-GGA.

Cell: 4.8218 4.8218 5.1732 Å, 81.50 81.50 34.78°
Last column: nearest neighbours and their distance in Å.
Element x y z (fractional)
1 Cd 0.9955 0.9955 0.9935  5 Cd 2.70-2.89, 2 Os 2.84, 3 Ru 2.92-2.96
2 Cd 0.7546 0.7546 0.7554  5 Cd 2.70-2.89, 2 Ru 2.83, 3 Os 2.91-2.95
3 Os 0.5084 0.5084 0.4624  3 Ru 2.62-2.74, 3 Cd 2.84-2.91, 2 Os 2.88
4 Ru 0.2414 0.2414 0.2888  3 Os 2.62-2.74, 3 Cd 2.83-2.92, 2 Ru 2.88

- Energy of formation from the pure elements: 0.475 eV/atom
- SG: Cm
- DOS at the Fermi energy: 0.82 states/eV per atom
- Total moment: 0.00 μB/cell
- ΔE to the lowest computed polymorph: 29.26 kJ per mole of atoms
- Crystal system: monoclinic

---

[5]
This record from Alexandria via LeMat-Bulk describes a geometry-optimized Sr2TaCd2 structure. The functional is PBE-GGA.

Cell: 9.1956 9.1956 3.4806 Å, 90.00 90.00 90.00°
Last column: nearest neighbours and their distance in Å.
Element x y z (fractional)
1 Sr 0.3388 0.8388 0.0000  6 Cd 3.16-3.25, 2 Ta 3.45, 2 Sr 3.48
2 Sr 0.8388 0.6612 0.0000  6 Cd 3.16-3.25, 2 Ta 3.45, 2 Sr 3.48
3 Sr 0.6612 0.1612 0.0000  6 Cd 3.16-3.25, 2 Ta 3.45, 2 Sr 3.48
4 Sr 0.1612 0.3388 0.0000  6 Cd 3.16-3.25, 2 Ta 3.45, 2 Sr 3.48
5 Cd 0.1362 0.6362 0.5000  6 Sr 3.16-3.25, 2 Cd 3.48
6 Cd 0.6362 0.8638 0.5000  6 Sr 3.16-3.25, 2 Cd 3.48
7 Cd 0.8638 0.3638 0.5000  6 Sr 3.16-3.25, 2 Cd 3.48
8 Cd 0.3638 0.1362 0.5000  6 Sr 3.16-3.25, 2 Cd 3.48
9 Ta 0.0000 0.0000 0.0000  4 Sr 3.45, 2 Ta 3.48
10 Ta 0.5000 0.5000 0.0000  4 Sr 3.45, 2 Ta 3.48

- Energy of formation from the pure elements: 0.679 eV/atom
- SG: P4/mbm
- DOS at the Fermi energy: 0.58 states/eV per atom
- Total moment: 3.58 μB/cell
- ΔE to the lowest computed polymorph: 1.45 kJ per mole of atoms
- Crystal system: tetragonal

---

[6]
This record from Alexandria via LeMat-Bulk describes a geometry-optimized TlSbAu2 structure. The functional is PBE-GGA.

Cell: 3.9972 7.5376 5.8532 Å, 34.18 90.00 90.00°
Last column: nearest neighbours and their distance in Å.
Element x y z (fractional)
1 Sb 0.5000 0.5000 0.5000  6 Au 2.92-2.93
2 Tl 0.0000 0.0000 0.5000  6 Au 2.92-2.93
3 Au 0.0000 0.0000 0.0000  4 Sb 2.92, 2 Tl 2.93
4 Au 0.5000 0.5000 0.0000  4 Tl 2.92, 2 Sb 2.93

- Energy relative to the elements, uncorrected: -0.02 eV per atom
- SG: P2/m
- DOS at the Fermi energy: 0.39 states/eV per atom
- Total moment: 0.00 μB/cell
- ΔE to the lowest computed polymorph: 5.00 kJ per mole of atoms
- Crystal system: monoclinic

---

[7]
This record from Alexandria via LeMat-Bulk describes a geometry-optimized K2Ba2Na3 structure. The functional is PBE-GGA.

Cell: 4.5994 4.5086 19.0525 Å, 90.00 83.07 90.00°
Last column: nearest neighbours and their distance in Å.
Element x y z (fractional)
1 K 0.6986 0.5000 0.6028  4 Na 4.12, 6 K 4.51-4.60
2 K 0.3014 0.5000 0.3972  4 Na 4.12, 6 K 4.51-4.60
3 Ba 0.5643 0.5000 0.8715  8 Na 4.03-4.08, 2 Ba 4.51
4 Ba 0.4357 0.5000 0.1285  8 Na 4.03-4.08, 2 Ba 4.51
5 Na 0.8696 0.0000 0.2609  4 Ba 4.08, 4 K 4.12, 2 Na 4.51
6 Na 0.0000 0.0000 0.0000  8 Ba 4.03, 2 Na 4.51
7 Na 0.1304 0.0000 0.7391  4 Ba 4.08, 4 K 4.12, 2 Na 4.51

- Energy of formation from the pure elements: 0.024 eV/atom
- SG: Cmmm
- DOS at the Fermi energy: 0.99 states/eV per atom
- Total moment: 0.00 μB/cell
- Crystal system: orthorhombic

---

[8]
This record from Alexandria via LeMat-Bulk describes a geometry-optimized TlVCr2 structure. The functional is PBE-GGA.

Cell: 4.4721 4.4721 4.4721 Å, 60.00 60.00 60.00°
Last column: nearest neighbours and their distance in Å.
Element x y z (fractional)
1 Cr 0.2500 0.2500 0.2500  4 Tl 2.74, 4 V 2.74
2 Cr 0.7500 0.7500 0.7500  4 Tl 2.74, 4 V 2.74
3 Tl 0.5000 0.5000 0.5000  8 Cr 2.74
4 V 0.0000 0.0000 0.0000  8 Cr 2.74

- Energy of formation from the pure elements: 0.487 eV/atom
- SG: Fm-3m
- DOS at the Fermi energy: 0.44 states/eV per atom
- Total moment: 3.79 μB/cell
- ΔE to the lowest computed polymorph: 0.00 kJ per mole of atoms
- Crystal system: cubic

---

Total energy? In order: -5.300 -4.459 -4.808 -5.109 -2.730 -3.277 -1.404 -7.195 eV/atom.